Record 1
Density functional theory data (PBE) for a relaxed structure of Pr4Nd5Dy.

Its distance to the lowest polymorph of the same formula is 0.007 eV per atom. For the formation energy, the calculation gives 168 meV per atom. The calculation puts the calculated volume at 35.17 A^3/atom. As for the crystal system: tetragonal. As for the space group: P4/nmm, No. 129.

Unit cell a=5.925 b=10.896 c=10.895 alpha=90.00 beta=90.00 gamma=90.00
Atoms (fractional coordinates):
1 Nd 0.000 0.000 0.500
2 Nd 0.837 0.661 0.661
3 Nd 0.837 0.339 0.661
4 Nd 0.163 0.161 0.161
5 Nd 0.837 0.339 0.339
6 Nd 0.837 0.661 0.339
7 Nd 0.163 0.839 0.839
8 Nd 0.163 0.161 0.839
9 Nd 0.000 0.500 0.000
10 Nd 0.163 0.839 0.161
11 Pr 0.369 0.500 0.795
12 Pr 0.369 0.795 0.500
13 Pr 0.369 0.205 0.500
14 Pr 0.631 0.000 0.295
15 Pr 0.631 0.705 0.000
16 Pr 0.369 0.500 0.205
17 Pr 0.631 0.295 0.000
18 Pr 0.631 0.000 0.705
19 Dy 0.358 0.500 0.500
20 Dy 0.642 0.000 0.000

Record 2
Density functional theory data (PBE) for a relaxed structure of Pr2NdDy5.

Its distance to the lowest polymorph of the same formula is 0.152 eV per atom. For the formation energy, the calculation gives 171 meV per atom. The calculation puts the calculated volume at 33.26 A^3/atom. As for the crystal system: monoclinic. As for the space group: C2/c, No. 15.

Unit cell a=9.994 b=6.557 c=10.955 alpha=119.51 beta=117.14 gamma=90.00
Atoms (fractional coordinates):
1 Pr 0.670 0.959 0.845
2 Pr 0.825 0.541 0.155
3 Pr 0.330 0.041 0.155
4 Pr 0.175 0.459 0.845
5 Dy 0.287 0.870 0.394
6 Dy 0.059 0.250 0.000
7 Dy 0.107 0.370 0.394
8 Dy 0.941 0.750 0.000
9 Dy 0.686 0.054 0.198
10 Dy 0.488 0.446 0.802
11 Dy 0.512 0.554 0.198
12 Dy 0.314 0.946 0.802
13 Dy 0.893 0.630 0.606
14 Dy 0.713 0.130 0.606
15 Nd 0.000 0.000 0.500
16 Nd 0.500 0.500 0.500